# V2InS

A relaxed V2InS crystal (PBE-GGA, Alexandria via LeMat-Bulk).

a = 4.4416 Å, b = 4.4416 Å, c = 4.4416 Å
α = 60.00°, β = 60.00°, γ = 60.00°
Element x y z (fractional)
In (0.5000, 0.5000, 0.5000)
S (0.0000, 0.0000, 0.0000)
V (0.7500, 0.7500, 0.7500)
V (0.2500, 0.2500, 0.2500)

Calculated values
space-group type = Fm-3m (225)
formation energy (no corrections) = 0.36 eV per atom
total energy = -23.7 eV for the cell shown

---

# V2ZnInS

A relaxed V2ZnInS crystal (PBE-GGA, Alexandria via LeMat-Bulk).

a = 4.8138 Å, b = 4.7500 Å, c = 4.8138 Å
α = 90.00°, β = 90.00°, γ = 90.00°
Site moments in Bohr magnetons follow the coordinates.
Element x y z (fractional)
In (0.0000, 0.5000, 0.0000)  -0.03
V (0.0000, 0.0000, 0.5000)  2.57
V (0.5000, 0.0000, 0.0000)  2.31
Zn (0.0000, 0.0000, 0.0000)  0.02
S (0.5000, 0.5000, 0.5000)  -0.13

Calculated values
space-group type = P4/mmm (123)
formation energy (no corrections) = 1.01 eV per atom
total energy = -21.3 eV for the cell shown

---

# InW2S

A relaxed InW2S crystal (PBE-GGA, Alexandria via LeMat-Bulk).

a = 4.0578 Å, b = 4.0578 Å, c = 9.6124 Å
α = 77.81°, β = 77.81°, γ = 90.00°
Element x y z (fractional)
In (0.0000, 0.0000, 0.0000)
S (0.5000, 0.5000, 0.0000)
W (0.1836, 0.6250, 0.2500)
W (0.8750, 0.8164, 0.7500)
W (0.3750, 0.4336, 0.7500)
S (0.2500, 0.7500, 0.5000)
W (0.5664, 0.1250, 0.2500)
In (0.7500, 0.2500, 0.5000)

Calculated values
space-group type = I-42d (122)
formation energy (no corrections) = 0.80 eV per atom
total energy = -59.2 eV for the cell shown